--- one ---
{
  "formula": "NdEr2Sc",
  "functional": "PBE-GGA",
  "state": "relaxed",
  "spacegroup": "No. 44",
  "lattice_angstrom": [[3.426, 0.021, 1.021], [0.812, 5.580, 3.416], [-0.099, 0.442, 6.577]],
  "species": ["Nd", "Er", "Er", "Sc"],
  "fractional_positions": [[0.250, 0.177, 0.323], [0.007, 0.070, 0.915], [0.493, 0.585, 0.430], [0.750, 0.668, 0.832]]
}

--- two ---
{
  "formula": "NdEr2Sc",
  "functional": "PBE-GGA",
  "state": "relaxed",
  "spacegroup": "No. 160",
  "lattice_angstrom": [[3.520, 0.000, 0.000], [1.760, 3.049, 0.000], [1.760, 1.016, 11.241]],
  "species": ["Nd", "Er", "Er", "Sc"],
  "fractional_positions": [[0.501, 0.501, 0.498], [0.079, 0.079, 0.763], [0.254, 0.254, 0.237], [0.666, 0.666, 0.001]]
}

So which one is most stable? That would be one, about 1.9 kJ/mol of atoms below the next structure.

--- one ---
{
  "formula": "NdEr7Sc2",
  "functional": "PBE-GGA",
  "state": "relaxed",
  "spacegroup": "No. 71",
  "lattice_angstrom": [[5.129, -0.831, 1.024], [-1.872, 8.652, 2.696], [1.545, 3.188, 8.547]],
  "species": ["Nd", "Er", "Er", "Er", "Er", "Er", "Er", "Er", "Sc", "Sc"],
  "fractional_positions": [[0.000, 0.000, 0.000], [0.000, 0.203, 0.203], [0.000, 0.797, 0.797], [0.247, 0.860, 0.366], [0.753, 0.140, 0.634], [0.247, 0.634, 0.140], [0.753, 0.366, 0.860], [0.500, 0.500, 0.500], [0.500, 0.301, 0.301], [0.500, 0.699, 0.699]]
}

--- two ---
{
  "formula": "NdEr7Sc2",
  "functional": "PBE-GGA",
  "state": "relaxed",
  "spacegroup": "No. 65",
  "lattice_angstrom": [[5.559, 0.000, 0.000], [0.000, 8.705, -0.233], [0.000, -4.135, 7.664]],
  "species": ["Nd", "Er", "Er", "Er", "Er", "Er", "Er", "Er", "Sc", "Sc"],
  "fractional_positions": [[0.000, 0.000, 0.000], [0.000, 0.761, 0.239], [0.000, 0.239, 0.761], [0.500, 0.059, 0.302], [0.500, 0.941, 0.698], [0.500, 0.302, 0.059], [0.500, 0.698, 0.941], [0.500, 0.500, 0.500], [0.500, 0.704, 0.296], [0.500, 0.296, 0.704]]
}

So which one is most stable? That would be one, about 60.3 kJ/mol of atoms below the next structure.

--- one ---
{
  "formula": "Nd8Er2Sc",
  "functional": "PBE-GGA",
  "state": "relaxed",
  "spacegroup": "No. 12",
  "lattice_angstrom": [[-3.661, 4.758, 2.907], [-1.474, -0.291, 10.042], [3.332, 4.305, 8.571]],
  "species": ["Nd", "Nd", "Nd", "Nd", "Nd", "Nd", "Nd", "Nd", "Er", "Er", "Sc"],
  "fractional_positions": [[0.227, 0.339, 0.823], [0.773, 0.177, 0.661], [0.159, 0.753, 0.753], [0.841, 0.247, 0.247], [0.227, 0.823, 0.339], [0.773, 0.661, 0.177], [0.722, 0.598, 0.598], [0.278, 0.402, 0.402], [0.557, 0.815, 0.815], [0.443, 0.185, 0.185], [0.000, 0.000, 0.000]]
}

--- two ---
{
  "formula": "Nd8Er2Sc",
  "functional": "PBE-GGA",
  "state": "relaxed",
  "spacegroup": "No. 71",
  "lattice_angstrom": [[0.759, -4.271, -3.724], [-0.722, -5.292, 5.923], [-8.085, 4.457, -2.372]],
  "species": ["Nd", "Nd", "Nd", "Nd", "Nd", "Nd", "Nd", "Nd", "Er", "Er", "Sc"],
  "fractional_positions": [[0.631, 0.840, 0.262], [0.369, 0.577, 0.738], [0.169, 0.169, 0.338], [0.000, 0.281, 0.000], [0.831, 0.831, 0.662], [0.631, 0.423, 0.262], [0.369, 0.160, 0.738], [0.000, 0.719, 0.000], [0.199, 0.699, 0.398], [0.801, 0.301, 0.602], [0.500, 0.000, 0.000]]
}

So which one is most stable? That would be two, about 6.1 kJ/mol of atoms below the next structure.

--- one ---
{
  "formula": "NdErThSc",
  "functional": "PBE-GGA",
  "state": "relaxed",
  "spacegroup": "No. 160",
  "lattice_angstrom": [[3.540, 0.000, 0.000], [-1.769, 3.066, 0.001], [-1.770, -1.025, 11.236]],
  "species": ["Nd", "Er", "Th", "Sc"],
  "fractional_positions": [[0.965, 0.381, 0.360], [0.475, 0.135, 0.626], [0.307, 0.551, 0.874], [0.131, 0.963, 0.109]]
}

--- two ---
{
  "formula": "NdErThSc",
  "functional": "PBE-GGA",
  "state": "relaxed",
  "spacegroup": "No. 216",
  "lattice_angstrom": [[5.573, 0.000, 0.000], [2.787, 4.827, 0.000], [2.787, 1.609, 4.551]],
  "species": ["Sc", "Nd", "Th", "Er"],
  "fractional_positions": [[0.750, 0.750, 0.750], [0.000, 0.000, 0.000], [0.500, 0.500, 0.500], [0.250, 0.250, 0.250]]
}

So which one is most stable? That would be one, about 6.3 kJ/mol of atoms below the next structure.